(1)
HoErHg6 | PBE-GGA | relaxed

The value obtained for the total magnetic moment is 0.00 μB per formula unit. For the calculated total energy, the calculation gives -1.70 eV/atom. As for the space group: Amm2, No. 38. The value obtained for the calculated formation energy is -0.33 eV/atom.

Lattice parameters (Å, degrees): 5.019 6.619 6.619 120.12 90.00 90.00
Element x y z (fractional)
Ho: 0.500 0.417 0.583
Er: 0.000 0.083 0.917
Hg: 0.000 0.083 0.416
Hg: 0.000 0.584 0.917
Hg: 0.000 0.583 0.417
Hg: 0.500 0.416 0.083
Hg: 0.500 0.917 0.584
Hg: 0.500 0.917 0.083

=====

(2)
Ho5Er12Hg2 | PBE-GGA | relaxed

The value obtained for the total magnetic moment is 0.00 μB per formula unit. For the calculated total energy, the calculation gives -4.04 eV/atom. As for the space group: C2/m, No. 12. The value obtained for the calculated formation energy is 0.08 eV/atom.

Lattice parameters (Å, degrees): 8.509 11.482 8.546 127.43 90.00 111.75
Element x y z (fractional)
Ho: 0.291 0.582 0.569
Ho: 0.293 0.587 0.101
Ho: 0.000 0.000 0.500
Ho: 0.707 0.413 0.899
Ho: 0.709 0.418 0.431
Er: 0.069 0.138 0.226
Er: 0.075 0.748 0.018
Er: 0.673 0.748 0.018
Er: 0.028 0.663 0.362
Er: 0.635 0.663 0.362
Er: 0.477 0.955 0.646
Er: 0.523 0.045 0.354
Er: 0.972 0.337 0.638
Er: 0.365 0.337 0.638
Er: 0.925 0.252 0.982
Er: 0.327 0.252 0.982
Er: 0.931 0.862 0.774
Hg: 0.669 0.000 0.000
Hg: 0.331 0.000 0.000

=====

(3)
Ho9Er4Hg11 | PBE-GGA | relaxed

The value obtained for the total magnetic moment is 1.60 μB per formula unit. For the calculated total energy, the calculation gives -2.98 eV/atom. As for the space group: Cmmm, No. 65. The value obtained for the calculated formation energy is -0.37 eV/atom.

Lattice parameters (Å, degrees): 3.537 13.636 13.636 109.66 90.00 90.00
Site moments in Bohr magnetons follow the coordinates.
Element x y z (fractional)
Ho: 0.500 0.622 0.149  0.00
Ho: 0.500 0.378 0.851  0.00
Ho: 0.500 0.149 0.622  0.00
Ho: 0.500 0.851 0.378  0.00
Ho: 0.500 0.796 0.975  0.07
Ho: 0.500 0.204 0.025  0.07
Ho: 0.500 0.975 0.796  0.07
Ho: 0.500 0.025 0.204  0.07
Ho: 0.500 0.500 0.500  0.38
Er: 0.500 0.576 0.748  0.15
Er: 0.500 0.424 0.252  0.15
Er: 0.500 0.748 0.576  0.15
Er: 0.500 0.252 0.424  0.15
Hg: 0.000 0.588 0.944  0.00
Hg: 0.000 0.412 0.056  0.00
Hg: 0.000 0.944 0.588  0.00
Hg: 0.000 0.056 0.412  0.00
Hg: 0.000 0.629 0.371  0.01
Hg: 0.000 0.371 0.629  0.01
Hg: 0.000 0.823 0.177  0.00
Hg: 0.000 0.177 0.823  0.00
Hg: 0.000 0.000 0.000  0.01
Hg: 0.000 0.774 0.774  0.01
Hg: 0.000 0.226 0.226  0.01

=====

(4)
HoEr2Hg4 | PBE-GGA | relaxed

The value obtained for the total magnetic moment is 0.00 μB per formula unit. The relative energy among the computed polymorphs is 388 meV per atom. For the calculated total energy, the calculation gives -2.07 eV/atom. As for the space group: I4/mmm, No. 139. The value obtained for the calculated formation energy is 0.06 eV/atom.

Lattice parameters (Å, degrees): 5.587 5.587 8.577 109.01 109.01 90.00
Element x y z (fractional)
Ho: 0.000 0.000 0.000
Er: 0.602 0.602 0.204
Er: 0.398 0.398 0.796
Hg: 0.800 0.800 0.601
Hg: 0.200 0.200 0.399
Hg: 0.000 0.500 0.000
Hg: 0.500 0.000 0.000

=====

(5)
HoErHg2 | PBE-GGA | relaxed

The value obtained for the total magnetic moment is 0.00 μB per formula unit. For the calculated total energy, the calculation gives -2.92 eV/atom. As for the space group: P4/mmm, No. 123. The value obtained for the calculated formation energy is -0.48 eV/atom.

Lattice parameters (Å, degrees): 3.732 5.208 5.208 90.00 90.00 90.00
Element x y z (fractional)
Ho: 0.500 0.000 0.000
Hg: 0.000 0.000 0.500
Hg: 0.000 0.500 0.000
Er: 0.500 0.500 0.500

=====

(6)
Ho4ErHg5 | PBE-GGA | relaxed

The value obtained for the total magnetic moment is 0.00 μB per formula unit. For the calculated total energy, the calculation gives -2.92 eV/atom. As for the space group: P4/mmm, No. 123. The value obtained for the calculated formation energy is -0.48 eV/atom.

Lattice parameters (Å, degrees): 3.701 3.701 18.541 90.00 90.00 90.00
Element x y z (fractional)
Ho: 0.000 0.000 0.199
Ho: 0.000 0.000 0.400
Ho: 0.000 0.000 0.600
Ho: 0.000 0.000 0.801
Er: 0.000 0.000 0.000
Hg: 0.500 0.500 0.099
Hg: 0.500 0.500 0.300
Hg: 0.500 0.500 0.500
Hg: 0.500 0.500 0.700
Hg: 0.500 0.500 0.901

=====

> Number 3 is which compound?

Ho9Er4Hg11